Record 1
# PmGeSb | Alexandria via LeMat-Bulk | PBE | relaxed
# - energy above the lowest structure with this stoichiometry (eV per atom) = 0.000
# - space group = Cmcm
data_PmGeSb
_chemical_formula_sum 'Pm2 Ge2 Sb2'
_cell_length_a 8.7178
_cell_length_b 8.7178
_cell_length_c 4.1341
_cell_angle_alpha 90.00
_cell_angle_beta 90.00
_cell_angle_gamma 150.76
_symmetry_space_group_name_H-M 'P 1'
_symmetry_Int_Tables_number 1
_symmetry_space_group_name_Hall 'P 1'
loop_
_atom_site_label
_atom_site_fract_x
_atom_site_fract_y
_atom_site_fract_z
Pm1 0.1000 0.9000 0.7500
Pm2 0.9000 0.1000 0.2500
Ge1 0.4516 0.5484 0.7500
Ge2 0.5484 0.4516 0.2500
Sb1 0.2518 0.7482 0.2500
Sb2 0.7482 0.2518 0.7500

=====

Record 2
# Na2BSbO4 | Alexandria via LeMat-Bulk | PBE | relaxed
# - space group = I-4
data_Na2BSbO4
_chemical_formula_sum 'Na2 B1 Sb1 O4'
_cell_length_a 5.3436
_cell_length_b 5.3436
_cell_length_c 5.3436
_cell_angle_alpha 121.47
_cell_angle_beta 121.47
_cell_angle_gamma 87.47
_symmetry_space_group_name_H-M 'P 1'
_symmetry_Int_Tables_number 1
_symmetry_space_group_name_Hall 'P 1'
loop_
_atom_site_label
_atom_site_fract_x
_atom_site_fract_y
_atom_site_fract_z
Na1 0.0000 0.0000 0.0000
Na2 0.7500 0.2500 0.5000
B1 0.2500 0.7500 0.5000
Sb1 0.5000 0.5000 0.0000
O1 0.1940 0.0367 0.5160
O2 0.3219 0.8060 0.8427
O3 0.5208 0.6781 0.4840
O4 0.9633 0.4792 0.1573

=====

Record 3
# LaErPd2 | Alexandria via LeMat-Bulk | PBE | relaxed
# - energy above the lowest structure with this stoichiometry (eV per atom) = 0.039
# - space group = P4/mmm
data_LaErPd2
_chemical_formula_sum 'La1 Er1 Pd2'
_cell_length_a 3.4997
_cell_length_b 3.4997
_cell_length_c 7.4329
_cell_angle_alpha 90.00
_cell_angle_beta 90.00
_cell_angle_gamma 90.00
_symmetry_space_group_name_H-M 'P 1'
_symmetry_Int_Tables_number 1
_symmetry_space_group_name_Hall 'P 1'
loop_
_atom_site_label
_atom_site_fract_x
_atom_site_fract_y
_atom_site_fract_z
La1 0.0000 0.0000 0.0000
Er1 0.0000 0.0000 0.5000
Pd1 0.5000 0.5000 0.2795
Pd2 0.5000 0.5000 0.7205

=====

Record 4
# VSnPt3 | Alexandria via LeMat-Bulk | PBE | relaxed
# - energy above the lowest structure with this stoichiometry (eV per atom) = 0.000
# - space group = Pm-3m
data_VSnPt3
_chemical_formula_sum 'V1 Sn1 Pt3'
_cell_length_a 4.7114
_cell_length_b 4.7114
_cell_length_c 4.7114
_cell_angle_alpha 90.00
_cell_angle_beta 90.00
_cell_angle_gamma 90.00
_symmetry_space_group_name_H-M 'P 1'
_symmetry_Int_Tables_number 1
_symmetry_space_group_name_Hall 'P 1'
loop_
_atom_site_label
_atom_site_fract_x
_atom_site_fract_y
_atom_site_fract_z
V1 0.0000 0.0000 0.0000
Sn1 0.5000 0.5000 0.5000
Pt1 0.0000 0.0000 0.5000
Pt2 0.0000 0.5000 0.0000
Pt3 0.5000 0.0000 0.0000

=====

Record 5
# HoHg3 | Alexandria via LeMat-Bulk | PBE | relaxed
# - space group = I4/mmm
data_HoHg3
_chemical_formula_sum 'Ho1 Hg3'
_cell_length_a 6.8117
_cell_length_b 6.8117
_cell_length_c 6.8117
_cell_angle_alpha 142.78
_cell_angle_beta 142.78
_cell_angle_gamma 53.65
_symmetry_space_group_name_H-M 'P 1'
_symmetry_Int_Tables_number 1
_symmetry_space_group_name_Hall 'P 1'
loop_
_atom_site_label
_atom_site_fract_x
_atom_site_fract_y
_atom_site_fract_z
Ho1 0.0000 0.0000 0.0000
Hg1 0.2512 0.2512 0.0000
Hg2 0.5000 0.5000 0.0000
Hg3 0.7488 0.7488 0.0000

=====

Record 6
# Tb5PmAu6 | Alexandria via LeMat-Bulk | PBE | relaxed
# - space group = P2/m
data_Tb5PmAu6
_chemical_formula_sum 'Tb5 Pm1 Au6'
_cell_length_a 5.1451
_cell_length_b 7.2070
_cell_length_c 8.1499
_cell_angle_alpha 90.00
_cell_angle_beta 108.24
_cell_angle_gamma 90.00
_symmetry_space_group_name_H-M 'P 1'
_symmetry_Int_Tables_number 1
_symmetry_space_group_name_Hall 'P 1'
loop_
_atom_site_label
_atom_site_fract_x
_atom_site_fract_y
_atom_site_fract_z
Tb1 0.0000 0.0000 0.0000
Tb2 0.3324 0.5000 0.6659
Tb3 0.3333 0.0000 0.6678
Tb4 0.6667 0.0000 0.3322
Tb5 0.6676 0.5000 0.3341
Pm1 0.0000 0.5000 0.0000
Au1 0.1711 0.2478 0.3394
Au2 0.1711 0.7522 0.3394
Au3 0.5000 0.2423 0.0000
Au4 0.5000 0.7577 0.0000
Au5 0.8289 0.2478 0.6606
Au6 0.8289 0.7522 0.6606

=====

Record 7
# LaPSe2 | Alexandria via LeMat-Bulk | PBE | relaxed
# - space group = F-43m
data_LaPSe2
_chemical_formula_sum 'La1 P1 Se2'
_cell_length_a 5.0735
_cell_length_b 5.0735
_cell_length_c 5.0735
_cell_angle_alpha 60.00
_cell_angle_beta 60.00
_cell_angle_gamma 60.00
_symmetry_space_group_name_H-M 'P 1'
_symmetry_Int_Tables_number 1
_symmetry_space_group_name_Hall 'P 1'
loop_
_atom_site_label
_atom_site_fract_x
_atom_site_fract_y
_atom_site_fract_z
La1 0.0000 0.0000 0.0000
P1 0.7500 0.7500 0.7500
Se1 0.2500 0.2500 0.2500
Se2 0.5000 0.5000 0.5000

=====

Record 8
# Zn2FeOs | Alexandria via LeMat-Bulk | PBE | relaxed
# - energy above the lowest structure with this stoichiometry (eV per atom) = 0.000
# - space group = P4mm
data_Zn2FeOs
_chemical_formula_sum 'Zn2 Fe1 Os1'
_cell_length_a 2.7212
_cell_length_b 2.7212
_cell_length_c 7.2310
_cell_angle_alpha 90.00
_cell_angle_beta 90.00
_cell_angle_gamma 90.00
_symmetry_space_group_name_H-M 'P 1'
_symmetry_Int_Tables_number 1
_symmetry_space_group_name_Hall 'P 1'
loop_
_atom_site_label
_atom_site_fract_x
_atom_site_fract_y
_atom_site_fract_z
Zn1 0.0000 0.0000 0.0000
Zn2 0.5000 0.5000 0.2774
Fe1 0.0000 0.0000 0.5180
Os1 0.5000 0.5000 0.7312

=====

Record 9
# ScPIO4 | Alexandria via LeMat-Bulk | PBE | relaxed
# - space group = C2/m
data_ScPIO4
_chemical_formula_sum 'Sc2 P2 I2 O8'
_cell_length_a 6.2831
_cell_length_b 6.2831
_cell_length_c 6.1453
_cell_angle_alpha 100.03
_cell_angle_beta 100.03
_cell_angle_gamma 60.40
_symmetry_space_group_name_H-M 'P 1'
_symmetry_Int_Tables_number 1
_symmetry_space_group_name_Hall 'P 1'
loop_
_atom_site_label
_atom_site_fract_x
_atom_site_fract_y
_atom_site_fract_z
Sc1 0.2048 0.2048 0.3418
Sc2 0.7952 0.7952 0.6582
P1 0.1367 0.1367 0.7664
P2 0.8633 0.8633 0.2336
I1 0.4845 0.4845 0.7607
I2 0.5155 0.5155 0.2393
O1 0.0038 0.6248 0.3607
O2 0.0077 0.0077 0.2661
O3 0.1986 0.1986 0.0124
O4 0.3752 0.9962 0.6393
O5 0.6248 0.0038 0.3607
O6 0.8014 0.8014 0.9876
O7 0.9923 0.9923 0.7339
O8 0.9962 0.3752 0.6393

=====

Record 10
# NpZnPdPt | Alexandria via LeMat-Bulk | PBE | relaxed
# - space group = F-43m
data_NpZnPdPt
_chemical_formula_sum 'Np1 Zn1 Pd1 Pt1'
_cell_length_a 4.7093
_cell_length_b 4.7093
_cell_length_c 4.7093
_cell_angle_alpha 60.00
_cell_angle_beta 60.00
_cell_angle_gamma 60.00
_symmetry_space_group_name_H-M 'P 1'
_symmetry_Int_Tables_number 1
_symmetry_space_group_name_Hall 'P 1'
loop_
_atom_site_label
_atom_site_fract_x
_atom_site_fract_y
_atom_site_fract_z
Np1 0.0000 0.0000 0.0000
Zn1 0.5000 0.5000 0.5000
Pd1 0.2500 0.2500 0.2500
Pt1 0.7500 0.7500 0.7500

=====

Record 11
# NbAg3Ru | Alexandria via LeMat-Bulk | PBE | relaxed
# - energy above the lowest structure with this stoichiometry (eV per atom) = 0.000
# - space group = Pm-3m
data_NbAg3Ru
_chemical_formula_sum 'Nb1 Ag3 Ru1'
_cell_length_a 4.8740
_cell_length_b 4.8740
_cell_length_c 4.8740
_cell_angle_alpha 90.00
_cell_angle_beta 90.00
_cell_angle_gamma 90.00
_symmetry_space_group_name_H-M 'P 1'
_symmetry_Int_Tables_number 1
_symmetry_space_group_name_Hall 'P 1'
loop_
_atom_site_label
_atom_site_fract_x
_atom_site_fract_y
_atom_site_fract_z
Nb1 0.0000 0.0000 0.0000
Ag1 0.0000 0.5000 0.5000
Ag2 0.5000 0.0000 0.5000
Ag3 0.5000 0.5000 0.0000
Ru1 0.5000 0.5000 0.5000

=====

Record 12
# AcTmZn2Au5 | Alexandria via LeMat-Bulk | PBE | relaxed
# - space group = P4/mmm
data_AcTmZn2Au5
_chemical_formula_sum 'Ac1 Tm1 Zn2 Au5'
_cell_length_a 4.9980
_cell_length_b 4.9980
_cell_length_c 7.9421
_cell_angle_alpha 90.00
_cell_angle_beta 90.00
_cell_angle_gamma 90.00
_symmetry_space_group_name_H-M 'P 1'
_symmetry_Int_Tables_number 1
_symmetry_space_group_name_Hall 'P 1'
loop_
_atom_site_label
_atom_site_fract_x
_atom_site_fract_y
_atom_site_fract_z
Ac1 0.0000 0.0000 0.0000
Tm1 0.0000 0.0000 0.5000
Zn1 0.5000 0.5000 0.3402
Zn2 0.5000 0.5000 0.6598
Au1 0.0000 0.5000 0.2770
Au2 0.0000 0.5000 0.7230
Au3 0.5000 0.0000 0.2770
Au4 0.5000 0.0000 0.7230
Au5 0.5000 0.5000 0.0000

=====

Record 13
# BaY2Si | Alexandria via LeMat-Bulk | PBE | relaxed
# - space group = I-4m2
data_BaY2Si
_chemical_formula_sum 'Ba1 Y2 Si1'
_cell_length_a 6.1666
_cell_length_b 6.1666
_cell_length_c 6.1666
_cell_angle_alpha 134.98
_cell_angle_beta 134.98
_cell_angle_gamma 65.55
_symmetry_space_group_name_H-M 'P 1'
_symmetry_Int_Tables_number 1
_symmetry_space_group_name_Hall 'P 1'
loop_
_atom_site_label
_atom_site_fract_x
_atom_site_fract_y
_atom_site_fract_z
Ba1 0.0000 0.0000 0.0000
Y1 0.5000 0.5000 0.0000
Y2 0.7500 0.2500 0.5000
Si1 0.2500 0.7500 0.5000

=====

Record 14
# CrMoI | Alexandria via LeMat-Bulk | PBE | relaxed
# - space group = Amm2
data_CrMoI
_chemical_formula_sum 'Cr2 Mo2 I2'
_cell_length_a 11.1120
_cell_length_b 3.4849
_cell_length_c 3.4849
_cell_angle_alpha 74.43
_cell_angle_beta 90.00
_cell_angle_gamma 90.00
_symmetry_space_group_name_H-M 'P 1'
_symmetry_Int_Tables_number 1
_symmetry_space_group_name_Hall 'P 1'
loop_
_atom_site_label
_atom_site_fract_x
_atom_site_fract_y
_atom_site_fract_z
Cr1 0.0000 0.0000 0.0000
Cr2 0.5000 0.4298 0.4298
Mo1 0.3888 0.0386 0.0386
Mo2 0.6112 0.0386 0.0386
I1 0.1837 0.3886 0.3886
I2 0.8163 0.3886 0.3886

=====

Record 15
# KrF2 | Alexandria via LeMat-Bulk | PBE | relaxed
# - energy above the lowest structure with this stoichiometry (eV per atom) = 0.000
# - space group = P4_2/mnm
data_KrF2
_chemical_formula_sum 'Kr2 F4'
_cell_length_a 4.7470
_cell_length_b 4.7470
_cell_length_c 5.9243
_cell_angle_alpha 90.00
_cell_angle_beta 90.00
_cell_angle_gamma 90.00
_symmetry_space_group_name_H-M 'P 1'
_symmetry_Int_Tables_number 1
_symmetry_space_group_name_Hall 'P 1'
loop_
_atom_site_label
_atom_site_fract_x
_atom_site_fract_y
_atom_site_fract_z
Kr1 0.0000 0.0000 0.0000
Kr2 0.5000 0.5000 0.5000
F1 0.2118 0.2118 0.5000
F2 0.2882 0.7118 0.0000
F3 0.7118 0.2882 0.0000
F4 0.7882 0.7882 0.5000

=====

Record 16
# TaIr2Se | Alexandria via LeMat-Bulk | PBE | relaxed
# - space group = Cmmm
data_TaIr2Se
_chemical_formula_sum 'Ta1 Ir2 Se1'
_cell_length_a 4.8170
_cell_length_b 4.8170
_cell_length_c 2.9263
_cell_angle_alpha 90.00
_cell_angle_beta 90.00
_cell_angle_gamma 108.22
_symmetry_space_group_name_H-M 'P 1'
_symmetry_Int_Tables_number 1
_symmetry_space_group_name_Hall 'P 1'
loop_
_atom_site_label
_atom_site_fract_x
_atom_site_fract_y
_atom_site_fract_z
Ta1 0.0000 0.0000 0.0000
Ir1 0.0000 0.5000 0.5000
Ir2 0.5000 0.0000 0.5000
Se1 0.5000 0.5000 0.0000

=====

Record 17
# Ce2ErP3Ir12 | Alexandria via LeMat-Bulk | PBE | relaxed
# - space group = R-3m
data_Ce2ErP3Ir12
_chemical_formula_sum 'Ce2 Er1 P3 Ir12'
_cell_length_a 6.7869
_cell_length_b 6.7869
_cell_length_c 6.7869
_cell_angle_alpha 82.85
_cell_angle_beta 82.85
_cell_angle_gamma 82.85
_symmetry_space_group_name_H-M 'P 1'
_symmetry_Int_Tables_number 1
_symmetry_space_group_name_Hall 'P 1'
loop_
_atom_site_label
_atom_site_fract_x
_atom_site_fract_y
_atom_site_fract_z
Ce1 0.1196 0.1196 0.1196
Ce2 0.8804 0.8804 0.8804
Er1 0.5000 0.5000 0.5000
P1 0.0000 0.5000 0.5000
P2 0.5000 0.0000 0.5000
P3 0.5000 0.5000 0.0000
Ir1 0.1336 0.1336 0.6018
Ir2 0.1336 0.6018 0.1336
Ir3 0.1566 0.6805 0.6805
Ir4 0.3195 0.3195 0.8434
Ir5 0.3195 0.8434 0.3195
Ir6 0.3982 0.8664 0.8664
Ir7 0.6018 0.1336 0.1336
Ir8 0.6805 0.1566 0.6805
Ir9 0.6805 0.6805 0.1566
Ir10 0.8434 0.3195 0.3195
Ir11 0.8664 0.3982 0.8664
Ir12 0.8664 0.8664 0.3982

=====

Record 18
# TbYZr2 | Alexandria via LeMat-Bulk | PBE | relaxed
# - energy above the lowest structure with this stoichiometry (eV per atom) = 0.105
# - space group = P4/mmm
data_TbYZr2
_chemical_formula_sum 'Tb1 Y1 Zr2'
_cell_length_a 3.9470
_cell_length_b 3.9470
_cell_length_c 6.8727
_cell_angle_alpha 90.00
_cell_angle_beta 90.00
_cell_angle_gamma 90.00
_symmetry_space_group_name_H-M 'P 1'
_symmetry_Int_Tables_number 1
_symmetry_space_group_name_Hall 'P 1'
loop_
_atom_site_label
_atom_site_fract_x
_atom_site_fract_y
_atom_site_fract_z
Tb1 0.0000 0.0000 0.0000
Y1 0.0000 0.0000 0.5000
Zr1 0.5000 0.5000 0.2290
Zr2 0.5000 0.5000 0.7710

=====

Record 19
# Ti2MoRh2 | Alexandria via LeMat-Bulk | PBE | relaxed
# - energy above the lowest structure with this stoichiometry (eV per atom) = 0.000
# - space group = P4/mbm
data_Ti2MoRh2
_chemical_formula_sum 'Ti4 Mo2 Rh4'
_cell_length_a 7.3387
_cell_length_b 7.3387
_cell_length_c 2.8633
_cell_angle_alpha 90.00
_cell_angle_beta 90.00
_cell_angle_gamma 90.00
_symmetry_space_group_name_H-M 'P 1'
_symmetry_Int_Tables_number 1
_symmetry_space_group_name_Hall 'P 1'
loop_
_atom_site_label
_atom_site_fract_x
_atom_site_fract_y
_atom_site_fract_z
Ti1 0.1540 0.3460 0.0000
Ti2 0.3460 0.8460 0.0000
Ti3 0.6540 0.1540 0.0000
Ti4 0.8460 0.6540 0.0000
Mo1 0.0000 0.0000 0.0000
Mo2 0.5000 0.5000 0.0000
Rh1 0.1477 0.6477 0.5000
Rh2 0.3523 0.1477 0.5000
Rh3 0.6477 0.8523 0.5000
Rh4 0.8523 0.3523 0.5000

=====

Record 20
# CaHo3Au4 | Alexandria via LeMat-Bulk | PBE | relaxed
# - space group = R-3m
data_CaHo3Au4
_chemical_formula_sum 'Ca1 Ho3 Au4'
_cell_length_a 8.8366
_cell_length_b 8.8366
_cell_length_c 8.8366
_cell_angle_alpha 33.31
_cell_angle_beta 33.31
_cell_angle_gamma 33.31
_symmetry_space_group_name_H-M 'P 1'
_symmetry_Int_Tables_number 1
_symmetry_space_group_name_Hall 'P 1'
loop_
_atom_site_label
_atom_site_fract_x
_atom_site_fract_y
_atom_site_fract_z
Ca1 0.0000 0.0000 0.0000
Ho1 0.2515 0.2515 0.2515
Ho2 0.5000 0.5000 0.5000
Ho3 0.7485 0.7485 0.7485
Au1 0.1300 0.1300 0.1300
Au2 0.3790 0.3790 0.3790
Au3 0.6210 0.6210 0.6210
Au4 0.8700 0.8700 0.8700

=====

| no. | calculated total energy (eV per cell) |
| --- | --- |
| 1 | -31.60 |
| 2 | -46.27 |
| 3 | -23.21 |
| 4 | -28.83 |
| 5 | -5.67 |
| 6 | -57.63 |
| 7 | -18.99 |
| 8 | -22.00 |
| 9 | -97.96 |
| 10 | -27.00 |
| 11 | -18.80 |
| 12 | -31.80 |
| 13 | -19.98 |
| 14 | -39.40 |
| 15 | -8.10 |
| 16 | -32.72 |
| 17 | -142.60 |
| 18 | -27.27 |
| 19 | -86.62 |
| 20 | -35.66 |